First-principles (GGA-PBE) data for Ce2GeSe after structural relaxation, as listed in the Alexandria database.

## Properties
SG = C2/c
ΔE_f (raw) = -1.2987 eV per atom

a = 9.4578 Å, b = 9.4578 Å, c = 7.3205 Å
α = 104.88°, β = 104.88°, γ = 126.95°
With the nearest neighbours (Å) after each atom.
Fractional positions:
Ce  0.0603  0.4352  0.2521  3 Ge 2.98-2.99, 3 Se 3.00-3.01
Ce  0.1864  0.3114  0.7479  3 Ge 2.97-2.98, 3 Se 3.00-3.01
Ce  0.3114  0.1864  0.2479  3 Ge 2.97-2.98, 3 Se 3.00-3.01
Ce  0.4352  0.0603  0.7521  3 Ge 2.98-2.99, 3 Se 3.00-3.01
Ce  0.5648  0.9397  0.2479  3 Ge 2.98-2.99, 3 Se 3.00-3.01
Ce  0.6886  0.8136  0.7521  3 Ge 2.97-2.98, 3 Se 3.00-3.01
Ce  0.8136  0.6886  0.2521  3 Ge 2.97-2.98, 3 Se 3.00-3.01
Ce  0.9397  0.5648  0.7479  3 Ge 2.98-2.99, 3 Se 3.00-3.01
Ge  0.0610  0.9390  0.7500  6 Ce 2.97-2.99
Ge  0.3139  0.6861  0.7500  6 Ce 2.97-2.99
Ge  0.6861  0.3139  0.2500  6 Ce 2.97-2.99
Ge  0.9390  0.0610  0.2500  6 Ce 2.97-2.99
Se  0.1882  0.8118  0.2500  6 Ce 3.00-3.01
Se  0.4369  0.5631  0.2500  6 Ce 3.00-3.01
Se  0.5631  0.4369  0.7500  6 Ce 3.00-3.01
Se  0.8118  0.1882  0.7500  6 Ce 3.00-3.01

=====

First-principles (GGA-PBE) data for NbPS after structural relaxation, as listed in the Alexandria database.

## Properties
SG = Pnma
ΔE_f (raw) = -0.6494 eV per atom

a = 11.8659 Å, b = 3.3764 Å, c = 5.2587 Å
α = 90.00°, β = 90.00°, γ = 90.00°
With the nearest neighbours (Å) after each atom.
Fractional positions:
Nb  0.1028  0.2500  0.0672  3 S 2.44-2.48, 3 P 2.61-2.63
Nb  0.3972  0.7500  0.5672  3 S 2.44-2.48, 3 P 2.61-2.63
Nb  0.6028  0.2500  0.4328  3 S 2.44-2.48, 3 P 2.61-2.63
Nb  0.8972  0.7500  0.9328  3 S 2.44-2.48, 3 P 2.61-2.63
P  0.1903  0.7500  0.3886  1 S 2.19
P  0.3097  0.2500  0.8886  1 S 2.19
P  0.6903  0.7500  0.1114  1 S 2.19
P  0.8097  0.2500  0.6114  1 S 2.19
S  0.0863  0.7500  0.7331  1 P 2.19, 2 Nb 2.44
S  0.4137  0.2500  0.2331  1 P 2.19, 2 Nb 2.44
S  0.5863  0.7500  0.7669  1 P 2.19, 2 Nb 2.44
S  0.9137  0.2500  0.2669  1 P 2.19, 2 Nb 2.44

=====

Question: Among the records above, which one has the highest ΔE_f (raw)?
Answer: NbPS

=====

Question: The lowest ΔE_f (raw) belongs to which entry?
Answer: Ce2GeSe

=====

Question: Among the records above, which one has the lowest ΔE_f (raw)?
Answer: Ce2GeSe